[1]
## Co2NiP (PBE)

Data for a geometry-optimized Co2NiP structure.

The calculation puts the total moment at 0.61 μB per atom. The energy of formation from the pure elements is -0.056 eV per atom. The total energy comes out at -6.41 eV per atom.

It has space group F-43m (No. 216), with a = 5.5507 Å, b = 5.5507 Å, c = 5.5507 Å, α = 90.00°, β = 90.00° and γ = 90.00°. Symmetry generates all atoms from Co at (0.0000, 0.0000, 0.0000), Co at (0.2500, 0.2500, 0.2500), Ni at (0.0000, 0.0000, 0.5000) and P at (0.2500, 0.2500, 0.7500).

***

[2]
## AlNiMo2 (PBE)

Data for a geometry-optimized AlNiMo2 structure.

The calculation puts the total moment at 0.00 μB per atom. The energy of formation from the pure elements is -0.137 eV per atom. The total energy comes out at -7.93 eV per atom.

It has space group Cmm2 (No. 35), with a = 3.4359 Å, b = 4.1081 Å, c = 8.0692 Å, α = 90.00°, β = 90.00° and γ = 90.00°. Symmetry generates all atoms from Al at (0.0000, 0.0000, 0.0000), Ni at (0.0000, 0.5000, 0.7873), Mo at (0.0000, 0.0000, 0.5482) and Mo at (0.0000, 0.5000, 0.2657).

***

[3]
## Li2MoRh2 (PBE)

Data for a geometry-optimized Li2MoRh2 structure.

The calculation puts the total moment at 0.00 μB per atom. The energy of formation from the pure elements is 0.102 eV per atom. The total energy comes out at -5.77 eV per atom. For the energy relative to the lowest polymorph listed for this composition, the calculation gives 40 meV per atom.

It has space group P4/mbm (No. 127), with a = 6.9035 Å, b = 6.9035 Å, c = 2.8379 Å, α = 90.00°, β = 90.00° and γ = 90.00°. Symmetry generates all atoms from Li at (0.1312, 0.3688, 0.0000), Mo at (0.0000, 0.0000, 0.5000) and Rh at (0.1676, 0.6676, 0.5000).

***

[4]
## TaGa3Br (PBE)

Data for a geometry-optimized TaGa3Br structure.

The calculation puts the total moment at 0.63 μB per atom. As for the formation energy (no corrections): 0.56 eV per atom. The total energy comes out at -3.96 eV per atom. For the energy relative to the lowest polymorph listed for this composition, the calculation gives 0 meV per atom.

It has space group Pm-3m (No. 221), with a = 5.2299 Å, b = 5.2299 Å, c = 5.2299 Å, α = 90.00°, β = 90.00° and γ = 90.00°. Symmetry generates all atoms from Ta at (0.0000, 0.0000, 0.0000), Ga at (0.0000, 0.0000, 0.5000) and Br at (0.5000, 0.5000, 0.5000).

***

[5]
## KCu2 (PBE)

Data for a geometry-optimized KCu2 structure.

The calculation puts the total moment at 0.00 μB per atom. The energy of formation from the pure elements is 0.237 eV per atom. The total energy comes out at -2.86 eV per atom.

It has space group Cmcm (No. 63), with a = 3.5932 Å, b = 22.8893 Å, c = 3.6553 Å, α = 90.00°, β = 90.00° and γ = 90.00°. Symmetry generates all atoms from K at (0.0000, 0.1606, 0.2500), Cu at (0.0000, 0.0388, 0.7500) and Cu at (0.0000, 0.4618, 0.7500).

***

[6]
## Tb7Nd4Er (PBE)

Data for a geometry-optimized Tb7Nd4Er structure.

The calculation puts the total moment at 0.00 μB per atom. The energy of formation from the pure elements is 0.266 eV per atom. The total energy comes out at -4.40 eV per atom. For the energy relative to the lowest polymorph listed for this composition, the calculation gives 179 meV per atom.

It has space group C2/m (No. 12), with a = 12.1167 Å, b = 5.9620 Å, c = 12.8439 Å, α = 90.00°, β = 117.96° and γ = 90.00°. Symmetry generates all atoms from Tb at (0.0000, 0.0000, 0.0000), Tb at (0.1367, 0.5000, 0.5049), Tb at (0.2118, 0.0000, 0.9237), Tb at (0.2410, 0.5000, 0.3102), Nd at (0.0554, 0.0000, 0.3337), Nd at (0.1363, 0.5000, 0.7775) and Er at (0.0000, 0.5000, 0.0000).